Record 1
Compound: HgPtAu
Source: Alexandria via LeMat-Bulk
Functional: GGA-PBE
Structure: optimized geometry

For the energy above the most stable polymorph in this dataset, the calculation gives 0 meV per atom.

a = 2.9835 Å, b = 4.6408 Å, c = 4.7217 Å
α = 90.00°, β = 90.00°, γ = 90.00°
Last column: nearest neighbours and their distance in Å.
Space group Pmmm (No. 47)
One atom of each set of equivalent atoms:
Hg (0.0000, 0.0000, 0.0000)  4 Pt 2.79, 2 Hg 2.98
Pt (0.5000, 0.0000, 0.5000)  4 Au 2.76, 4 Hg 2.79, 2 Pt 2.98
Au (0.0000, 0.5000, 0.5000)  4 Pt 2.76, 2 Au 2.98

---

Record 2
Compound: HgPt2Au
Source: Alexandria via LeMat-Bulk
Functional: GGA-PBE
Structure: optimized geometry

a = 2.9459 Å, b = 2.9459 Å, c = 27.8709 Å
α = 90.00°, β = 90.00°, γ = 120.00°
Last column: nearest neighbours and their distance in Å.
Space group R-3m (No. 166, hexagonal axes)
One atom of each set of equivalent atoms:
Hg (0.0000, 0.0000, 0.0000)  6 Pt 2.89, 6 Hg 2.95
Pt (0.0000, 0.0000, 0.2495)  3 Au 2.87, 3 Hg 2.89, 6 Pt 2.95
Au (0.0000, 0.0000, 0.5000)  6 Pt 2.87, 6 Au 2.95

---

Record 3
Compound: HgPt4Au
Source: Alexandria via LeMat-Bulk
Functional: GGA-PBE
Structure: optimized geometry

a = 7.5505 Å, b = 7.5505 Å, c = 7.5505 Å
α = 90.00°, β = 90.00°, γ = 90.00°
Last column: nearest neighbours and their distance in Å.
Space group F-43m (No. 216)
One atom of each set of equivalent atoms:
Hg (0.0000, 0.0000, 0.0000)  12 Pt 3.13, 4 Au 3.27
Pt (0.1249, 0.1249, 0.6249)  6 Pt 2.67
Au (0.2500, 0.2500, 0.2500)  12 Pt 3.13, 4 Hg 3.27

---

Record 4
Compound: RbHg2PtAu
Source: Alexandria via LeMat-Bulk
Functional: GGA-PBE
Structure: optimized geometry

a = 5.3423 Å, b = 5.3423 Å, c = 5.3474 Å
α = 90.00°, β = 90.00°, γ = 90.00°
Last column: nearest neighbours and their distance in Å.
Space group P4/mmm (No. 123)
One atom of each set of equivalent atoms:
Rb (0.0000, 0.0000, 0.0000)  4 Au 3.78, 8 Hg 3.78
Hg (0.0000, 0.5000, 0.5000)  2 Pt 2.67
Pt (0.5000, 0.5000, 0.5000)  4 Hg 2.67, 2 Au 2.67
Au (0.5000, 0.5000, 0.0000)  2 Pt 2.67

---

Record 5
Compound: Rb2HgPtAu
Source: Alexandria via LeMat-Bulk
Functional: GGA-PBE
Structure: optimized geometry

For the energy above the most stable polymorph in this dataset, the calculation gives 22 meV per atom.

a = 6.3210 Å, b = 6.3210 Å, c = 5.2385 Å
α = 90.00°, β = 90.00°, γ = 90.00°
Last column: nearest neighbours and their distance in Å.
Space group P4/mmm (No. 123)
One atom of each set of equivalent atoms:
Rb (0.0000, 0.5000, 0.0000)  2 Pt 3.16
Hg (0.0000, 0.0000, 0.5000)  8 Rb 4.10, 4 Au 4.47
Pt (0.5000, 0.5000, 0.0000)  2 Au 2.62
Au (0.5000, 0.5000, 0.5000)  2 Pt 2.62

---

Record 6
Compound: Rb2HgPtAu
Source: Alexandria via LeMat-Bulk
Functional: GGA-PBE
Structure: optimized geometry

For the energy above the most stable polymorph in this dataset, the calculation gives 0 meV per atom.

a = 6.3706 Å, b = 6.3706 Å, c = 5.2233 Å
α = 90.00°, β = 90.00°, γ = 90.00°
Last column: nearest neighbours and their distance in Å.
Space group P4/mmm (No. 123)
One atom of each set of equivalent atoms:
Rb (0.0000, 0.5000, 0.0000)  2 Pt 3.19
Hg (0.0000, 0.0000, 0.5000)  2 Pt 2.61
Pt (0.0000, 0.0000, 0.0000)  2 Hg 2.61
Au (0.5000, 0.5000, 0.5000)  8 Rb 4.12, 4 Hg 4.50

---

Record 7
Compound: Rb4Hg12Pt3Au
Source: Alexandria via LeMat-Bulk
Functional: GGA-PBE
Structure: optimized geometry

a = 10.8620 Å, b = 10.8620 Å, c = 10.8620 Å
α = 90.00°, β = 90.00°, γ = 90.00°
Last column: nearest neighbours and their distance in Å.
Space group Im-3m (No. 229)
One atom of each set of equivalent atoms:
Rb (0.2500, 0.2500, 0.2500)  12 Hg 3.84
Hg (0.0000, 0.0000, 0.2539)  1 Pt 2.67, 1 Au 2.76
Hg (0.0000, 0.2500, 0.5000)  2 Pt 2.72
Pt (0.0000, 0.0000, 0.5000)  6 Hg 2.67-2.72
Au (0.0000, 0.0000, 0.0000)  6 Hg 2.76

---

Record 8
Compound: Sc4HgPtAu2
Source: Alexandria via LeMat-Bulk
Functional: GGA-PBE
Structure: optimized geometry

a = 4.8244 Å, b = 4.8244 Å, c = 23.5353 Å
α = 90.00°, β = 90.00°, γ = 120.00°
Last column: nearest neighbours and their distance in Å.
Space group R-3m (No. 166, hexagonal axes)
One atom of each set of equivalent atoms:
Sc (0.0000, 0.0000, 0.1187)  1 Pt 2.79, 4 Au 2.87-2.94, 3 Hg 3.01
Sc (0.0000, 0.0000, 0.3699)  3 Pt 2.92, 4 Au 2.97-3.05, 1 Hg 3.06
Hg (0.0000, 0.0000, 0.5000)  8 Sc 3.01-3.06, 6 Au 3.32
Pt (0.0000, 0.0000, 0.0000)  8 Sc 2.79-2.92
Au (0.0000, 0.0000, 0.2438)  8 Sc 2.87-3.05

---

Record 9
Compound: Sr2HgPtAu6
Source: Alexandria via LeMat-Bulk
Functional: GGA-PBE
Structure: optimized geometry

a = 10.4234 Å, b = 10.4234 Å, c = 10.4234 Å
α = 90.00°, β = 90.00°, γ = 90.00°
Last column: nearest neighbours and their distance in Å.
Space group Fm-3m (No. 225)
One atom of each set of equivalent atoms:
Sr (0.2500, 0.2500, 0.2500)  12 Au 3.69
Hg (0.0000, 0.0000, 0.0000)  6 Au 2.65
Pt (0.0000, 0.0000, 0.5000)  6 Au 2.57
Au (0.0000, 0.0000, 0.2538)  1 Pt 2.57, 1 Hg 2.65

---

Record 10
Compound: Sr2HgPt2Au5
Source: Alexandria via LeMat-Bulk
Functional: GGA-PBE
Structure: optimized geometry

a = 10.2139 Å, b = 10.2139 Å, c = 4.1637 Å
α = 90.00°, β = 90.00°, γ = 90.00°
Last column: nearest neighbours and their distance in Å.
Space group P4/mbm (No. 127)
One atom of each set of equivalent atoms:
Sr (0.1738, 0.3262, 0.0000)  3 Pt 2.92-3.09, 2 Au 3.26
Hg (0.0000, 0.0000, 0.0000)  8 Au 3.00
Pt (0.1242, 0.6242, 0.0000)  6 Au 2.75-2.81, 1 Sr 2.92
Au (0.0000, 0.5000, 0.5000)  4 Pt 2.75
Au (0.0614, 0.7977, 0.5000)  2 Pt 2.81, 2 Hg 3.00, 3 Au 3.05-3.10

---

Record 11
Compound: TbHgPtAu
Source: Alexandria via LeMat-Bulk
Functional: GGA-PBE
Structure: optimized geometry

a = 6.9282 Å, b = 6.9282 Å, c = 6.9282 Å
α = 90.00°, β = 90.00°, γ = 90.00°
Last column: nearest neighbours and their distance in Å.
Space group F-43m (No. 216)
One atom of each set of equivalent atoms:
Tb (0.0000, 0.0000, 0.0000)  4 Au 3.00, 4 Pt 3.00
Hg (0.0000, 0.0000, 0.5000)  4 Pt 3.00, 4 Au 3.00
Pt (0.2500, 0.2500, 0.2500)  4 Hg 3.00, 4 Tb 3.00
Au (0.2500, 0.2500, 0.7500)  4 Hg 3.00, 4 Tb 3.00

---

Record 12
Compound: ThHgPtAu
Source: Alexandria via LeMat-Bulk
Functional: GGA-PBE
Structure: optimized geometry

a = 7.0812 Å, b = 7.0812 Å, c = 7.0812 Å
α = 90.00°, β = 90.00°, γ = 90.00°
Last column: nearest neighbours and their distance in Å.
Space group F-43m (No. 216)
One atom of each set of equivalent atoms:
Th (0.0000, 0.0000, 0.0000)  4 Au 3.07, 4 Pt 3.07
Hg (0.0000, 0.0000, 0.5000)  4 Pt 3.07, 4 Au 3.07
Pt (0.2500, 0.2500, 0.7500)  4 Th 3.07, 4 Hg 3.07
Au (0.2500, 0.2500, 0.2500)  4 Hg 3.07, 4 Th 3.07

---

| no. | formation enthalpy at 0 K (kJ/mol of formula units) | spin magnetization (μB/f.u.) |
| --- | --- | --- |
| 1 | -4 | 0.0 |
| 2 | 27 | 0.0 |
| 3 | 90 | 0.0 |
| 4 | -98 | 0.0 |
| 5 | -2 | 0.0 |
| 6 | -13 | 0.1 |
| 7 | -489 | 0.0 |
| 8 | -634 | 0.0 |
| 9 | -162 | 0.0 |
| 10 | -441 | 0.0 |
| 11 | -252 | 0.0 |
| 12 | -251 | 0.0 |